# 1
First-principles (PBE) data for a geometry-optimized Pm3Ga3Ir structure, as listed in Alexandria via LeMat-Bulk.

Computed properties:
As for the total magnetization: 0.000 Bohr magnetons per cell. As for the calculated density: 8.39 Mg/m³. As for the space group: C2/m (12). As for the volume: 331.1 Å³/cell. The density of states at the Fermi level is 0.899 states/eV per atom. For the formation energy, the calculation gives -0.673 eV/atom.

Structure (POSCAR):
```
Pm3Ga3Ir
1.0
5.568 -2.134 0.000
5.568 2.134 0.000
-4.638 0.000 13.934
Pm Ga Ir
6 6 2
Direct
0.024 0.024 0.384
0.113 0.113 0.922
0.236 0.236 0.238
0.764 0.764 0.762
0.887 0.887 0.078
0.976 0.976 0.616
0.346 0.346 0.464
0.397 0.397 0.925
0.472 0.472 0.769
0.528 0.528 0.231
0.603 0.603 0.075
0.654 0.654 0.536
0.263 0.263 0.615
0.737 0.737 0.385
```

***

# 2
First-principles (PBE) data for a geometry-optimized AlPdO2 structure, as listed in Alexandria via LeMat-Bulk.

Computed properties:
As for the total magnetization: 0.000 Bohr magnetons per cell. As for the calculated density: 5.35 Mg/m³. As for the space group: Cmcm (63). As for the volume: 102.7 Å³/cell. The density of states at the Fermi level is 0.366 states/eV per atom. The uncorrected formation energy comes out at -1202 meV/atom.

Structure (POSCAR):
```
AlPdO2
1.0
1.636 -9.284 0.000
1.636 9.284 0.000
0.000 0.000 3.381
Al Pd O
2 2 4
Direct
0.067 0.933 0.750
0.933 0.067 0.250
0.325 0.675 0.750
0.675 0.325 0.250
0.042 0.958 0.250
0.163 0.837 0.750
0.837 0.163 0.250
0.958 0.042 0.750
```

***

# 3
First-principles (PBE) data for a geometry-optimized La2TbTm structure, as listed in Alexandria via LeMat-Bulk.

Computed properties:
As for the total magnetization: 0.000 Bohr magnetons per cell. As for the calculated density: 7.40 Mg/m³. As for the space group: Cmmm (65). As for the volume: 135.9 Å³/cell. The density of states at the Fermi level is 1.673 states/eV per atom. For the formation energy, the calculation gives 0.026 eV/atom. The distance to the lowest polymorph of the same formula is 0.05 eV per formula unit.

Structure (POSCAR):
```
La2TbTm
1.0
3.692 -4.960 0.000
3.692 4.960 0.000
0.000 0.000 3.710
La Tb Tm
2 1 1
Direct
0.000 0.500 0.000
0.500 0.000 0.000
0.000 0.000 0.500
0.500 0.500 0.500
```

***

# 4
First-principles (PBE) data for a geometry-optimized YI2O2 structure, as listed in Alexandria via LeMat-Bulk.

Computed properties:
As for the total magnetization: 2.796 Bohr magnetons per cell. As for the calculated density: 3.86 Mg/m³. As for the space group: P4/mmm (123). As for the volume: 161.4 Å³/cell. The density of states at the Fermi level is 1.059 states/eV per atom. The uncorrected formation energy comes out at -578 meV/atom. The distance to the lowest polymorph of the same formula is 2.36 eV per formula unit.

Structure (POSCAR):
```
YI2O2
1.0
6.245 0.000 0.000
0.000 6.245 0.000
0.000 0.000 4.137
Y I O
1 2 2
Direct
0.000 0.000 0.000
0.000 0.500 0.000
0.500 0.000 0.000
0.000 0.000 0.500
0.500 0.500 0.500
```

***

# 5
First-principles (PBE) data for a geometry-optimized HgRu2 structure, as listed in Alexandria via LeMat-Bulk.

Computed properties:
As for the total magnetization: 1.564 Bohr magnetons per cell. As for the calculated density: 13.79 Mg/m³. As for the space group: P-62m (189). As for the volume: 145.5 Å³/cell. The density of states at the Fermi level is 1.551 states/eV per atom. For the formation energy, the calculation gives 0.729 eV/atom. The distance to the lowest polymorph of the same formula is 1.25 eV per formula unit.

Structure (POSCAR):
```
HgRu2
1.0
7.732 0.000 0.000
-3.866 6.697 0.000
0.000 0.000 2.810
Hg Ru
3 6
Direct
0.000 0.000 0.000
0.333 0.667 0.500
0.667 0.333 0.500
0.000 0.310 0.500
0.000 0.645 0.000
0.310 0.000 0.500
0.355 0.355 0.000
0.645 0.000 0.000
0.690 0.690 0.500
```

***

# 6
First-principles (PBE) data for a geometry-optimized Pm8Sb2Te3 structure, as listed in Alexandria via LeMat-Bulk.

Computed properties:
As for the total magnetization: 0.637 Bohr magnetons per cell. As for the calculated density: 6.50 Mg/m³. As for the space group: C2/m (12). As for the volume: 456.6 Å³/cell. The density of states at the Fermi level is 1.055 states/eV per atom. The uncorrected formation energy comes out at -784 meV/atom.

Structure (POSCAR):
```
Pm8Sb2Te3
1.0
7.511 -4.282 0.000
7.511 4.282 0.000
-1.463 0.000 7.099
Pm Sb Te
8 2 3
Direct
0.096 0.096 0.371
0.104 0.660 0.110
0.340 0.896 0.890
0.353 0.353 0.610
0.647 0.647 0.390
0.660 0.104 0.110
0.896 0.340 0.890
0.904 0.904 0.629
0.254 0.254 0.161
0.746 0.746 0.839
0.284 0.716 0.500
0.500 0.500 0.000
0.716 0.284 0.500
```